The following is a DFT calculation (GGA+U) of KFe2SeF after structural relaxation.

**Raw total energy**: -18.52 eV for the cell shown
**Excess energy over the best structure of this formula in the dataset**: 120.6 meV per atom

Structure (CIF):
```
data_KFe2SeF
_chemical_formula_sum 'K1 Fe2 Se1 F1'
_space_group_name_H-M_alt 'P 4/m m m'
_space_group_IT_number 123
_space_group_name_Hall '-P 4 2'
_cell_length_a 4.366
_cell_length_b 4.366
_cell_length_c 6.043
_cell_angle_alpha 90.00
_cell_angle_beta 90.00
_cell_angle_gamma 90.00
loop_
_atom_site_label
_atom_site_type_symbol
_atom_site_fract_x
_atom_site_fract_y
_atom_site_fract_z
K1 K 0.000 0.000 0.000
Fe1 Fe 0.000 0.500 0.500
Se1 Se 0.500 0.500 0.000
F1 F 0.500 0.500 0.500
```